# 1
Material: PrPOs2C
Method: DFT, GGA-PBE
State: optimized geometry

abc: 3.9623 11.0763 7.1588
angles: 90.00 90.00 90.00
Space group Cmcm (No. 63)
Unique sites:
Pr: 0.0000 0.0464 0.2500 [4 per cell]
P: 0.0000 0.2294 0.7500 [4 per cell]
Os: 0.0000 0.3322 0.0535 [8 per cell]
C: 0.0000 0.5000 0.0000 [4 per cell]

Properties
Energy relative to the elements   -0.435 eV/atom

=====

# 2
Material: SiPOsRuC
Method: DFT, GGA-PBE
State: optimized geometry

abc: 7.6415 2.8960 5.8984
angles: 90.00 101.87 90.00
Space group Cm (No. 8)
Unique sites:
Si: 0.0000 0.0000 0.0000 [2 per cell]
P: 0.0680 0.5000 0.5246 [2 per cell]
Os: 0.3365 0.5000 0.3120 [2 per cell]
Ru: 0.3207 0.0000 0.7186 [2 per cell]
C: 0.2535 0.0000 0.0543 [2 per cell]

Properties
Uncorrected formation energy   12.0 kJ per mole of atoms
E above lowest polymorph   0.0711 eV/atom

=====

# 3
Material: SiPOsRuC
Method: DFT, GGA-PBE
State: optimized geometry

abc: 8.3848 2.9323 6.0797
angles: 90.00 116.54 90.00
Space group Cm (No. 8)
Unique sites:
Si: 0.0000 0.0000 0.0000 [2 per cell]
P: 0.4138 0.0000 0.4491 [2 per cell]
Os: 0.1498 0.0000 0.5000 [2 per cell]
Ru: 0.2485 0.5000 0.1248 [2 per cell]
C: 0.2635 0.5000 0.7761 [2 per cell]

Properties
Uncorrected formation energy   15.6 kJ per mole of atoms
E above lowest polymorph   0.1083 eV/atom